<i>
# Be2Nb2Ru (meta-GGA SCAN, PBEsol geometry)
data_Be2Nb2Ru
_cell_length_a 2.925
_cell_length_b 2.925
_cell_length_c 8.259
_cell_angle_alpha 100.20
_cell_angle_beta 100.20
_cell_angle_gamma 90.00
_symmetry_space_group_name_H-M 'P 1'
_symmetry_Int_Tables_number 1
loop_
_symmetry_equiv_pos_as_xyz
'x,y,z'
loop_
_atom_site_label
_atom_site_type_symbol
_atom_site_fract_x
_atom_site_fract_y
_atom_site_fract_z
_atom_site_occupancy
Nb1 Nb 0.391 0.391 0.782 1
Nb2 Nb 0.609 0.609 0.218 1
Be1 Be 0.250 0.750 0.500 1
Be2 Be 0.750 0.250 0.500 1
Ru1 Ru 0.000 0.000 0.000 1
# total magnetization = 0.0 μB per cell



<ii>
# Be2Nb2Ru (meta-GGA SCAN, PBEsol geometry)
data_Be2Nb2Ru
_cell_length_a 3.289
_cell_length_b 6.237
_cell_length_c 6.237
_cell_angle_alpha 90.00
_cell_angle_beta 90.00
_cell_angle_gamma 90.00
_symmetry_space_group_name_H-M 'P 1'
_symmetry_Int_Tables_number 1
loop_
_symmetry_equiv_pos_as_xyz
'x,y,z'
loop_
_atom_site_label
_atom_site_type_symbol
_atom_site_fract_x
_atom_site_fract_y
_atom_site_fract_z
_atom_site_occupancy
Nb1 Nb 0.500 0.825 0.325 1
Nb2 Nb 0.500 0.175 0.675 1
Nb3 Nb 0.500 0.675 0.825 1
Nb4 Nb 0.500 0.325 0.175 1
Ru1 Ru 0.000 0.000 0.000 1
Ru2 Ru 0.000 0.500 0.500 1
Be1 Be 0.000 0.378 0.878 1
Be2 Be 0.000 0.878 0.622 1
Be3 Be 0.000 0.122 0.378 1
Be4 Be 0.000 0.622 0.122 1
# total magnetization = 0.0 μB per cell



From most stable to least stable, the computed energies give <ii>, <i>.



<i>
# Be3Ni (meta-GGA SCAN, PBEsol geometry)
data_Be3Ni
_cell_length_a 3.215
_cell_length_b 3.215
_cell_length_c 3.215
_cell_angle_alpha 90.00
_cell_angle_beta 90.00
_cell_angle_gamma 90.00
_symmetry_space_group_name_H-M 'P 1'
_symmetry_Int_Tables_number 1
loop_
_symmetry_equiv_pos_as_xyz
'x,y,z'
loop_
_atom_site_label
_atom_site_type_symbol
_atom_site_fract_x
_atom_site_fract_y
_atom_site_fract_z
_atom_site_occupancy
Be1 Be 0.000 0.500 0.500 1
Be2 Be 0.500 0.000 0.500 1
Be3 Be 0.500 0.500 0.000 1
Ni1 Ni 0.000 0.000 0.000 1
# total magnetization = 0.0 μB per cell



<ii>
# Be3Ni (meta-GGA SCAN, PBEsol geometry)
data_Be3Ni
_cell_length_a 2.891
_cell_length_b 3.333
_cell_length_c 4.080
_cell_angle_alpha 114.11
_cell_angle_beta 110.75
_cell_angle_gamma 90.00
_symmetry_space_group_name_H-M 'P 1'
_symmetry_Int_Tables_number 1
loop_
_symmetry_equiv_pos_as_xyz
'x,y,z'
loop_
_atom_site_label
_atom_site_type_symbol
_atom_site_fract_x
_atom_site_fract_y
_atom_site_fract_z
_atom_site_occupancy
Ni1 Ni 0.000 0.500 0.000 1
Be1 Be 0.250 0.250 0.499 1
Be2 Be 0.500 0.000 0.000 1
Be3 Be 0.750 0.750 0.501 1
# total magnetization = 0.0 μB per cell



<iii>
# Be3Ni (meta-GGA SCAN, PBEsol geometry)
data_Be3Ni
_cell_length_a 2.349
_cell_length_b 2.349
_cell_length_c 7.461
_cell_angle_alpha 80.94
_cell_angle_beta 80.94
_cell_angle_gamma 60.00
_symmetry_space_group_name_H-M 'P 1'
_symmetry_Int_Tables_number 1
loop_
_symmetry_equiv_pos_as_xyz
'x,y,z'
loop_
_atom_site_label
_atom_site_type_symbol
_atom_site_fract_x
_atom_site_fract_y
_atom_site_fract_z
_atom_site_occupancy
Be1 Be 0.749 0.749 0.752 1
Be2 Be 0.251 0.251 0.248 1
Be3 Be 0.500 0.500 0.500 1
Ni1 Ni 0.000 0.000 0.000 1
# total magnetization = 0.4 μB per cell



From most stable to least stable, the computed energies give <ii>, <i>, <iii>.



<i>
# Be2ReNi (meta-GGA SCAN, PBEsol geometry)
data_Be2ReNi
_cell_length_a 2.542
_cell_length_b 2.840
_cell_length_c 5.530
_cell_angle_alpha 90.00
_cell_angle_beta 90.00
_cell_angle_gamma 90.00
_symmetry_space_group_name_H-M 'P 1'
_symmetry_Int_Tables_number 1
loop_
_symmetry_equiv_pos_as_xyz
'x,y,z'
loop_
_atom_site_label
_atom_site_type_symbol
_atom_site_fract_x
_atom_site_fract_y
_atom_site_fract_z
_atom_site_occupancy
Re1 Re 0.500 0.500 0.500 1
Be1 Be 0.000 0.000 0.213 1
Be2 Be 0.000 0.000 0.787 1
Ni1 Ni 0.500 0.500 0.000 1
# total magnetization = 0.0 μB per cell



<ii>
# Be2ReNi (meta-GGA SCAN, PBEsol geometry)
data_Be2ReNi
_cell_length_a 3.839
_cell_length_b 3.839
_cell_length_c 3.839
_cell_angle_alpha 60.00
_cell_angle_beta 60.00
_cell_angle_gamma 60.00
_symmetry_space_group_name_H-M 'P 1'
_symmetry_Int_Tables_number 1
loop_
_symmetry_equiv_pos_as_xyz
'x,y,z'
loop_
_atom_site_label
_atom_site_type_symbol
_atom_site_fract_x
_atom_site_fract_y
_atom_site_fract_z
_atom_site_occupancy
Be1 Be 0.750 0.750 0.750 1
Be2 Be 0.250 0.250 0.250 1
Re1 Re 0.500 0.500 0.500 1
Ni1 Ni 0.000 0.000 0.000 1
# total magnetization = 0.0 μB per cell



<iii>
# Be2ReNi (meta-GGA SCAN, PBEsol geometry)
data_Be2ReNi
_cell_length_a 3.285
_cell_length_b 3.285
_cell_length_c 4.478
_cell_angle_alpha 111.52
_cell_angle_beta 111.52
_cell_angle_gamma 90.00
_symmetry_space_group_name_H-M 'P 1'
_symmetry_Int_Tables_number 1
loop_
_symmetry_equiv_pos_as_xyz
'x,y,z'
loop_
_atom_site_label
_atom_site_type_symbol
_atom_site_fract_x
_atom_site_fract_y
_atom_site_fract_z
_atom_site_occupancy
Be1 Be 0.000 0.000 0.000 1
Be2 Be 0.750 0.250 0.500 1
Re1 Re 0.250 0.750 0.500 1
Ni1 Ni 0.500 0.500 0.000 1
# total magnetization = 0.9 μB per cell



From most stable to least stable, the computed energies give <i>, <ii>, <iii>.



<i>
# BeSiNi (meta-GGA SCAN, PBEsol geometry)
data_BeSiNi
_cell_length_a 2.685
_cell_length_b 3.215
_cell_length_c 4.082
_cell_angle_alpha 113.19
_cell_angle_beta 109.20
_cell_angle_gamma 90.00
_symmetry_space_group_name_H-M 'P 1'
_symmetry_Int_Tables_number 1
loop_
_symmetry_equiv_pos_as_xyz
'x,y,z'
loop_
_atom_site_label
_atom_site_type_symbol
_atom_site_fract_x
_atom_site_fract_y
_atom_site_fract_z
_atom_site_occupancy
Si1 Si 0.331 0.331 0.662 1
Be1 Be 0.004 0.004 0.008 1
Ni1 Ni 0.665 0.665 0.330 1
# total magnetization = 0.0 μB per cell



<ii>
# BeSiNi (meta-GGA SCAN, PBEsol geometry)
data_BeSiNi
_cell_length_a 2.523
_cell_length_b 3.781
_cell_length_c 3.781
_cell_angle_alpha 120.00
_cell_angle_beta 90.00
_cell_angle_gamma 90.00
_symmetry_space_group_name_H-M 'P 1'
_symmetry_Int_Tables_number 1
loop_
_symmetry_equiv_pos_as_xyz
'x,y,z'
loop_
_atom_site_label
_atom_site_type_symbol
_atom_site_fract_x
_atom_site_fract_y
_atom_site_fract_z
_atom_site_occupancy
Ni1 Ni 0.622 0.333 0.667 1
Si1 Si 0.367 0.667 0.333 1
Be1 Be 0.011 0.000 0.000 1
# total magnetization = 0.0 μB per cell



From most stable to least stable, the computed energies give <i>, <ii>.



<i>
# BeSiNi2 (meta-GGA SCAN, PBEsol geometry)
data_BeSiNi2
_cell_length_a 2.733
_cell_length_b 2.733
_cell_length_c 5.240
_cell_angle_alpha 90.00
_cell_angle_beta 90.00
_cell_angle_gamma 90.00
_symmetry_space_group_name_H-M 'P 1'
_symmetry_Int_Tables_number 1
loop_
_symmetry_equiv_pos_as_xyz
'x,y,z'
loop_
_atom_site_label
_atom_site_type_symbol
_atom_site_fract_x
_atom_site_fract_y
_atom_site_fract_z
_atom_site_occupancy
Ni1 Ni 0.000 0.000 0.746 1
Ni2 Ni 0.000 0.000 0.254 1
Be1 Be 0.500 0.500 0.500 1
Si1 Si 0.500 0.500 0.000 1
# total magnetization = 0.0 μB per cell



<ii>
# BeSiNi2 (meta-GGA SCAN, PBEsol geometry)
data_BeSiNi2
_cell_length_a 2.690
_cell_length_b 3.811
_cell_length_c 4.266
_cell_angle_alpha 106.48
_cell_angle_beta 108.38
_cell_angle_gamma 90.00
_symmetry_space_group_name_H-M 'P 1'
_symmetry_Int_Tables_number 1
loop_
_symmetry_equiv_pos_as_xyz
'x,y,z'
loop_
_atom_site_label
_atom_site_type_symbol
_atom_site_fract_x
_atom_site_fract_y
_atom_site_fract_z
_atom_site_occupancy
Ni1 Ni 0.990 0.939 0.980 1
Ni2 Ni 0.757 0.305 0.513 1
Si1 Si 0.499 0.451 0.998 1
Be1 Be 0.254 0.805 0.509 1
# total magnetization = 0.0 μB per cell



From most stable to least stable, the computed energies give <ii>, <i>.



<i>
# BeSiNi2 (meta-GGA SCAN, PBEsol geometry)
data_BeSiNi2
_cell_length_a 3.285
_cell_length_b 3.285
_cell_length_c 4.323
_cell_angle_alpha 112.33
_cell_angle_beta 112.33
_cell_angle_gamma 90.00
_symmetry_space_group_name_H-M 'P 1'
_symmetry_Int_Tables_number 1
loop_
_symmetry_equiv_pos_as_xyz
'x,y,z'
loop_
_atom_site_label
_atom_site_type_symbol
_atom_site_fract_x
_atom_site_fract_y
_atom_site_fract_z
_atom_site_occupancy
Ni1 Ni 0.750 0.250 0.500 1
Ni2 Ni 0.000 0.000 0.000 1
Be1 Be 0.250 0.750 0.500 1
Si1 Si 0.500 0.500 0.000 1
# total magnetization = 0.0 μB per cell



<ii>
# BeSiNi2 (meta-GGA SCAN, PBEsol geometry)
data_BeSiNi2
_cell_length_a 3.806
_cell_length_b 3.806
_cell_length_c 3.806
_cell_angle_alpha 60.00
_cell_angle_beta 60.00
_cell_angle_gamma 60.00
_symmetry_space_group_name_H-M 'P 1'
_symmetry_Int_Tables_number 1
loop_
_symmetry_equiv_pos_as_xyz
'x,y,z'
loop_
_atom_site_label
_atom_site_type_symbol
_atom_site_fract_x
_atom_site_fract_y
_atom_site_fract_z
_atom_site_occupancy
Ni1 Ni 0.750 0.750 0.750 1
Ni2 Ni 0.250 0.250 0.250 1
Be1 Be 0.000 0.000 0.000 1
Si1 Si 0.500 0.500 0.500 1
# total magnetization = 0.0 μB per cell



From most stable to least stable, the computed energies give <ii>, <i>.